The following is a DFT calculation (GGA-PBE) of crystalline CsPaCd at its relaxed geometry.

Unit cell a=5.223 b=5.223 c=5.223 alpha=60.00 beta=60.00 gamma=60.00
Atoms (fractional coordinates):
Pa 0.000 0.000 0.000
Cd 0.250 0.250 0.250
Cs 0.750 0.750 0.750

Results
Calculated volume in Å³/f.u.: 100.8
Final energy in eV per atom: -2.35
Theoretical density in g cm⁻³: 7.85

The following is a DFT calculation (GGA-PBE) of crystalline CsRbCdPb at its relaxed geometry.

Unit cell a=6.943 b=7.376 c=7.376 alpha=106.09 beta=90.00 gamma=90.00
Atoms (fractional coordinates):
Cs 0.000 0.475 0.821
Pb 0.000 0.263 0.263
Pb 0.500 0.738 0.738
Cs 0.000 0.821 0.475
Cd 0.750 0.000 0.000
Rb 0.500 0.524 0.178
Rb 0.500 0.178 0.524
Cd 0.250 0.000 0.000

Results
Calculated volume in Å³/f.u.: 181.5
Final energy in eV per atom: -1.78
Theoretical density in g cm⁻³: 4.92

The following is a DFT calculation (GGA-PBE) of crystalline CsRb3Cd2Pb2 at its relaxed geometry.

Unit cell a=7.269 b=6.921 c=7.351 alpha=90.00 beta=105.40 gamma=90.00
Atoms (fractional coordinates):
Cd 0.002 0.250 0.999
Pb 0.739 0.500 0.737
Pb 0.258 0.000 0.269
Rb 0.525 0.500 0.179
Cs 0.475 0.000 0.819
Rb 0.176 0.500 0.523
Cd 0.002 0.750 0.999
Rb 0.823 0.000 0.476

Results
Calculated volume in Å³/f.u.: 356.5
Final energy in eV per atom: -1.79
Theoretical density in g cm⁻³: 4.79

The following is a DFT calculation (GGA-PBE) of crystalline CsRbCdPb at its relaxed geometry.

Unit cell a=6.952 b=7.362 c=7.362 alpha=74.13 beta=90.00 gamma=90.00
Atoms (fractional coordinates):
Cd 0.000 0.997 0.997
Cs 0.250 0.523 0.821
Rb 0.250 0.179 0.475
Pb 0.750 0.264 0.744
Rb 0.750 0.475 0.179
Cs 0.750 0.821 0.523
Cd 0.500 0.997 0.997
Pb 0.250 0.744 0.264

Results
Calculated volume in Å³/f.u.: 181.2
Final energy in eV per atom: -1.78
Theoretical density in g cm⁻³: 4.93

The following is a DFT calculation (GGA-PBE) of crystalline CsRbCdPb at its relaxed geometry.

Unit cell a=7.320 b=6.947 c=7.417 alpha=90.00 beta=105.84 gamma=90.00
Atoms (fractional coordinates):
Rb 0.824 0.750 0.479
Cs 0.526 0.250 0.181
Pb 0.252 0.750 0.268
Cd 0.000 0.500 0.000
Rb 0.176 0.250 0.521
Cs 0.474 0.750 0.819
Pb 0.748 0.250 0.732
Cd 0.000 0.000 0.000

Results
Calculated volume in Å³/f.u.: 181.4
Final energy in eV per atom: -1.78
Theoretical density in g cm⁻³: 4.92

The following is a DFT calculation (GGA-PBE) of crystalline Cs4Cd2SnPb at its relaxed geometry.

Unit cell a=7.130 b=7.495 c=7.495 alpha=107.20 beta=90.00 gamma=90.00
Atoms (fractional coordinates):
Pb 0.000 0.251 0.251
Sn 0.500 0.751 0.751
Cs 0.000 0.819 0.480
Cs 0.500 0.521 0.182
Cs 0.500 0.182 0.521
Cd 0.252 0.998 0.998
Cd 0.748 0.998 0.998
Cs 0.000 0.480 0.819

Results
Calculated volume in Å³/f.u.: 382.6
Final energy in eV per atom: -1.82
Theoretical density in g cm⁻³: 4.70

The following is a DFT calculation (GGA-PBE) of crystalline Cs4ZnCdPb2 at its relaxed geometry.

Unit cell a=7.474 b=7.474 c=7.177 alpha=90.36 beta=90.36 gamma=108.54
Atoms (fractional coordinates):
Pb 0.246 0.246 0.237
Cs 0.518 0.180 0.750
Cd 0.000 0.000 0.500
Cs 0.820 0.482 0.250
Zn 0.000 0.000 0.000
Pb 0.754 0.754 0.763
Cs 0.482 0.820 0.250
Cs 0.180 0.518 0.750

Results
Calculated volume in Å³/f.u.: 380.1
Final energy in eV per atom: -1.78
Theoretical density in g cm⁻³: 4.91

The following is a DFT calculation (GGA-PBE) of crystalline CsCdPd at its relaxed geometry.

Unit cell a=5.396 b=5.396 c=5.396 alpha=60.00 beta=60.00 gamma=60.00
Atoms (fractional coordinates):
Cs 0.250 0.250 0.250
Cd 0.000 0.000 0.000
Pd 0.750 0.750 0.750

Results
Calculated volume in Å³/f.u.: 111.1
Final energy in eV per atom: -1.92
Theoretical density in g cm⁻³: 5.26

The following is a DFT calculation (GGA-PBE) of crystalline CsCdPd at its relaxed geometry.

Unit cell a=5.710 b=5.710 c=5.710 alpha=60.00 beta=60.00 gamma=60.00
Atoms (fractional coordinates):
Pd 0.750 0.750 0.750
Cs 0.000 0.000 0.000
Cd 0.250 0.250 0.250

Results
Calculated volume in Å³/f.u.: 131.7
Final energy in eV per atom: -1.61
Theoretical density in g cm⁻³: 4.44

The following is a DFT calculation (GGA-PBE) of crystalline CsCdTe3Pd at its relaxed geometry.

Unit cell a=8.548 b=8.548 c=11.773 alpha=90.00 beta=90.00 gamma=150.61
Atoms (fractional coordinates):
Cs 0.244 0.756 0.250
Te 0.603 0.397 0.024
Te 0.065 0.935 0.750
Te 0.397 0.603 0.976
Te 0.935 0.065 0.250
Cs 0.756 0.244 0.750
Te 0.603 0.397 0.476
Cd 0.543 0.457 0.250
Pd 0.000 0.000 0.000
Te 0.397 0.603 0.524
Cd 0.457 0.543 0.750
Pd 0.000 0.000 0.500

Results
Calculated volume in Å³/f.u.: 211.1
Final energy in eV per atom: -3.18
Theoretical density in g cm⁻³: 5.78

The following is a DFT calculation (GGA-PBE) of crystalline CsPrCdSe3 at its relaxed geometry.

Unit cell a=8.414 b=8.414 c=11.489 alpha=90.00 beta=90.00 gamma=149.65
Atoms (fractional coordinates):
Cd 0.537 0.463 0.250
Se 0.936 0.064 0.250
Se 0.621 0.379 0.446
Se 0.379 0.621 0.554
Pr 0.000 0.000 0.000
Pr 0.000 0.000 0.500
Se 0.379 0.621 0.946
Cs 0.255 0.745 0.250
Cd 0.463 0.537 0.750
Cs 0.745 0.255 0.750
Se 0.064 0.936 0.750
Se 0.621 0.379 0.054

Results
Calculated volume in Å³/f.u.: 205.5
Final energy in eV per atom: -4.21
Theoretical density in g cm⁻³: 5.04

The following is a DFT calculation (GGA-PBE) of crystalline CsCd3Pt at its relaxed geometry.

Unit cell a=7.570 b=7.571 c=7.576 alpha=60.07 beta=60.07 gamma=60.05
Atoms (fractional coordinates):
Cs 0.249 0.748 0.750
Cd 0.748 0.751 0.749
Cd 0.250 0.750 0.249
Cs 0.751 0.252 0.250
Cd 0.252 0.249 0.251
Pt 0.000 0.500 0.500
Cd 0.749 0.752 0.251
Pt 0.500 0.000 0.000
Cd 0.750 0.250 0.751
Cd 0.251 0.248 0.749

Results
Calculated volume in Å³/f.u.: 153.7
Final energy in eV per atom: -2.17
Theoretical density in g cm⁻³: 7.19

> calculated volume of number 12 (CsCd3Pt)?

153.7 Å³/f.u.

> Which of these has the lowest theoretical density?

number 9